Entry 1:
This record from Alexandria via LeMat-Bulk describes a relaxed TmTlCuBr5 crystal. The functional is GGA-PBE.

```
TmTlCuBr5
1.0
4.6064 -6.1727 0.0000
4.6064 6.1727 0.0000
-4.1385 0.0000 9.5657
Tm Tl Cu Br
2 2 2 10
Direct
0.0000 0.0000 0.0000 Tm
0.0000 0.0000 0.5000 Tm
0.3557 0.6443 0.7500 Tl
0.6443 0.3557 0.2500 Tl
0.3067 0.6933 0.2500 Cu
0.6933 0.3067 0.7500 Cu
0.0790 0.9210 0.7500 Br
0.0914 0.6860 0.3894 Br
0.2394 0.3782 0.0703 Br
0.3140 0.9086 0.1106 Br
0.3782 0.2394 0.5703 Br
0.6218 0.7606 0.4297 Br
0.6860 0.0914 0.8894 Br
0.7606 0.6218 0.9297 Br
0.9086 0.3140 0.6106 Br
0.9210 0.0790 0.2500 Br
```

- SG = C2/c, No. 15
- total magnetic moment (μB per formula unit) = 0.15
- VASP energy (eV per atom) = -3.604
- formation energy without anion corrections (meV/atom) = -1192

***

Entry 2:
This record from Alexandria via LeMat-Bulk describes a relaxed Tl2CdTc crystal. The functional is GGA-PBE.

```
Tl2CdTc
1.0
0.0000 3.4973 3.4973
3.4973 0.0000 3.4973
3.4973 3.4973 0.0000
Tl Cd Tc
2 1 1
Direct
0.2500 0.2500 0.2500 Tl
0.7500 0.7500 0.7500 Tl
0.0000 0.0000 0.0000 Cd
0.5000 0.5000 0.5000 Tc
```

- SG = Fm-3m, No. 225
- total magnetic moment (μB per formula unit) = 0.00
- formation energy from the elements (eV/atom) = 0.773
- distance to the lowest polymorph of the same formula (eV per formula unit) = 1.29
- VASP energy (eV per atom) = -3.230

***

Entry 3:
This record from Alexandria via LeMat-Bulk describes a relaxed La5DyHo2 crystal. The functional is GGA-PBE.

```
La5DyHo2
1.0
2.8930 -8.5154 0.0000
2.8930 8.5154 0.0000
0.0000 0.0000 11.5886
La Dy Ho
10 2 4
Direct
0.0479 0.9521 0.6145 La
0.0479 0.9521 0.8855 La
0.3892 0.6108 0.2500 La
0.4112 0.5888 0.5867 La
0.4112 0.5888 0.9133 La
0.5888 0.4112 0.0867 La
0.5888 0.4112 0.4133 La
0.6108 0.3892 0.7500 La
0.9521 0.0479 0.1145 La
0.9521 0.0479 0.3855 La
0.2299 0.7701 0.7500 Dy
0.7701 0.2299 0.2500 Dy
0.2161 0.7839 0.0826 Ho
0.2161 0.7839 0.4174 Ho
0.7839 0.2161 0.5826 Ho
0.7839 0.2161 0.9174 Ho
```

- SG = Cmcm, No. 63
- total magnetic moment (μB per formula unit) = 0.00
- formation energy from the elements (eV/atom) = 0.131
- distance to the lowest polymorph of the same formula (eV per formula unit) = 0.00
- VASP energy (eV per atom) = -4.668

***

Entry 4:
This record from Alexandria via LeMat-Bulk describes a relaxed PmGa2Si crystal. The functional is GGA-PBE.

```
PmGa2Si
1.0
2.1707 1.2532 5.1061
-2.1707 1.2532 5.1061
0.0000 -2.5065 5.1061
Pm Ga Si
1 2 1
Direct
0.0000 0.0000 0.0000 Pm
0.2160 0.2160 0.2160 Ga
0.7840 0.7840 0.7840 Ga
0.5000 0.5000 0.5000 Si
```

- SG = R-3m, No. 166
- total magnetic moment (μB per formula unit) = 0.00
- distance to the lowest polymorph of the same formula (eV per formula unit) = 0.47
- VASP energy (eV per atom) = -4.358
- formation energy without anion corrections (meV/atom) = -302

***

Entry 5:
This record from Alexandria via LeMat-Bulk describes a relaxed La3Dy2Mg2 crystal. The functional is GGA-PBE.

```
La3Dy2Mg2
1.0
2.6954 -11.8837 0.0000
2.6954 11.8837 0.0000
0.0000 0.0000 3.5187
La Dy Mg
3 2 2
Direct
0.0000 0.0000 0.0000 La
0.1485 0.8515 0.0000 La
0.8515 0.1485 0.0000 La
0.2874 0.7126 0.5000 Dy
0.7126 0.2874 0.5000 Dy
0.4299 0.5701 0.5000 Mg
0.5701 0.4299 0.5000 Mg
```

- SG = Cmmm, No. 65
- total magnetic moment (μB per formula unit) = 0.33
- formation energy from the elements (eV/atom) = 0.031
- VASP energy (eV per atom) = -3.851

***

Entry 6:
This record from Alexandria via LeMat-Bulk describes a relaxed BaCa3Pd crystal. The functional is GGA-PBE.

```
BaCa3Pd
1.0
7.1312 -4.1409 0.0000
7.1312 4.1409 0.0000
-2.2516 0.0000 6.7380
Ba Ca Pd
2 6 2
Direct
0.0000 0.0000 0.0000 Ba
0.2489 0.2489 0.5408 Ba
0.2622 0.7299 0.5054 Ca
0.5066 0.5066 0.0239 Ca
0.5121 0.9874 0.0240 Ca
0.7299 0.2622 0.5054 Ca
0.7468 0.7468 0.5097 Ca
0.9874 0.5121 0.0240 Ca
0.3673 0.3673 0.2382 Pd
0.6276 0.6276 0.7655 Pd
```

- SG = Cm, No. 8
- total magnetic moment (μB per formula unit) = 0.00
- formation energy from the elements (eV/atom) = -0.300
- distance to the lowest polymorph of the same formula (eV per formula unit) = 0.05
- VASP energy (eV per atom) = -2.925

***

Entry 7:
This record from Alexandria via LeMat-Bulk describes a relaxed Tb12MgTl3 crystal. The functional is GGA-PBE.

```
Tb12MgTl3
1.0
4.8801 0.0000 0.0000
0.0000 4.8801 0.0000
0.0000 0.0000 19.5392
Tb Mg Tl
12 1 3
Direct
0.0000 0.0000 0.0000 Tb
0.0000 0.0000 0.2498 Tb
0.0000 0.0000 0.5000 Tb
0.0000 0.0000 0.7502 Tb
0.0000 0.5000 0.1244 Tb
0.0000 0.5000 0.3740 Tb
0.0000 0.5000 0.6260 Tb
0.0000 0.5000 0.8756 Tb
0.5000 0.0000 0.1244 Tb
0.5000 0.0000 0.3740 Tb
0.5000 0.0000 0.6260 Tb
0.5000 0.0000 0.8756 Tb
0.5000 0.5000 0.5000 Mg
0.5000 0.5000 0.0000 Tl
0.5000 0.5000 0.2482 Tl
0.5000 0.5000 0.7518 Tl
```

- SG = P4/mmm, No. 123
- total magnetic moment (μB per formula unit) = 2.71
- formation energy from the elements (eV/atom) = -0.133
- VASP energy (eV per atom) = -4.149

***

Entry 8:
This record from Alexandria via LeMat-Bulk describes a relaxed ScCd2As crystal. The functional is GGA-PBE.

```
ScCd2As
1.0
4.0540 0.0000 0.0000
0.0000 4.0540 0.0000
0.0000 0.0000 5.1042
Sc Cd As
1 2 1
Direct
0.0000 0.0000 0.0000 Sc
0.0000 0.5000 0.5000 Cd
0.5000 0.0000 0.5000 Cd
0.5000 0.5000 0.0000 As
```

- SG = P4/mmm, No. 123
- total magnetic moment (μB per formula unit) = 0.00
- formation energy from the elements (eV/atom) = -0.412
- VASP energy (eV per atom) = -3.615

***

Entry 9:
This record from Alexandria via LeMat-Bulk describes a relaxed Nd3Cu4Pd2 crystal. The functional is GGA-PBE.

```
Nd3Cu4Pd2
1.0
5.3764 -2.1466 0.0000
5.3764 2.1466 0.0000
-2.8777 0.0000 8.0499
Nd Cu Pd
3 4 2
Direct
0.0000 0.0000 0.0000 Nd
0.3308 0.3308 0.3365 Nd
0.6692 0.6692 0.6635 Nd
0.0487 0.0487 0.3908 Cu
0.2753 0.2753 0.9496 Cu
0.7247 0.7247 0.0504 Cu
0.9513 0.9513 0.6092 Cu
0.3886 0.3886 0.7279 Pd
0.6114 0.6114 0.2721 Pd
```

- SG = C2/m, No. 12
- total magnetic moment (μB per formula unit) = 0.00
- formation energy from the elements (eV/atom) = -0.434
- VASP energy (eV per atom) = -4.997

***

Entry 10:
This record from Alexandria via LeMat-Bulk describes a relaxed CrNiHIr crystal. The functional is GGA-PBE.

```
CrNiHIr
1.0
1.3479 0.7782 6.4218
-1.3479 0.7782 6.4218
0.0000 -1.5564 6.4218
Cr Ni H Ir
1 1 1 1
Direct
0.0000 0.0000 0.0000 Cr
0.7708 0.7708 0.7708 Ni
0.1327 0.1327 0.1327 H
0.5644 0.5644 0.5644 Ir
```

- SG = R3m, No. 160
- total magnetic moment (μB per formula unit) = 0.00
- distance to the lowest polymorph of the same formula (eV per formula unit) = 0.47
- VASP energy (eV per atom) = -6.886

***

Entry 11:
This record from Alexandria via LeMat-Bulk describes a relaxed ErThPt crystal. The functional is GGA-PBE.

```
ErThPt
1.0
0.0000 3.4912 3.4912
3.4912 0.0000 3.4912
3.4912 3.4912 0.0000
Er Th Pt
1 1 1
Direct
0.0000 0.0000 0.0000 Er
0.5000 0.5000 0.5000 Th
0.7500 0.7500 0.7500 Pt
```

- SG = F-43m, No. 216
- total magnetic moment (μB per formula unit) = 0.00
- formation energy from the elements (eV/atom) = -0.694
- VASP energy (eV per atom) = -6.702

***

Entry 12:
This record from Alexandria via LeMat-Bulk describes a relaxed La8Os2Ru crystal. The functional is GGA-PBE.

```
La8Os2Ru
1.0
6.2753 -4.4855 0.0000
6.2753 4.4855 0.0000
-1.8727 0.0000 6.4979
La Os Ru
8 2 1
Direct
0.0834 0.0834 0.2640 La
0.1464 0.5631 0.2373 La
0.3603 0.3603 0.7496 La
0.4369 0.8536 0.7627 La
0.5631 0.1464 0.2373 La
0.6397 0.6397 0.2504 La
0.8536 0.4369 0.7627 La
0.9166 0.9166 0.7360 La
0.1838 0.1838 0.9461 Os
0.8162 0.8162 0.0539 Os
0.5000 0.5000 0.5000 Ru
```

- SG = C2/m, No. 12
- total magnetic moment (μB per formula unit) = 0.00
- formation energy from the elements (eV/atom) = -0.142
- VASP energy (eV per atom) = -6.611